{
  "formula": "RbCa2ZrSi",
  "functional": "PBEsol",
  "state": "relaxed",
  "lattice_angstrom": [[-3.537, -3.332, -1.922], [2.689, -4.493, 2.841], [-3.464, 0.934, 4.756]],
  "species": ["Rb", "Zr", "Ca", "Ca", "Si"],
  "fractional_positions": [[0.500, 0.500, 0.500], [0.000, 0.000, 0.000], [0.000, 0.500, 0.000], [0.000, 0.000, 0.500], [0.500, 0.000, 0.000]],
  "space_group": "P4/mmm (123)",
  "density_kg_m3": 2551,
  "raw_formation_energy_ev_per_atom": 0.53,
  "crystal_system": "tetragonal",
  "e_tot_ev_per_atom": -3.498
}

=====

{
  "formula": "RbCa2Sn2",
  "functional": "PBEsol",
  "state": "relaxed",
  "lattice_angstrom": [[3.351, 0.000, 0.000], [0.000, 9.642, 0.000], [0.000, 0.000, 9.642]],
  "species": ["Sn", "Sn", "Sn", "Sn", "Ca", "Ca", "Ca", "Ca", "Rb", "Rb"],
  "fractional_positions": [[0.500, 0.329, 0.171], [0.500, 0.671, 0.829], [0.500, 0.171, 0.671], [0.500, 0.829, 0.329], [0.000, 0.626, 0.126], [0.000, 0.374, 0.874], [0.000, 0.874, 0.626], [0.000, 0.126, 0.374], [0.000, 0.000, 0.000], [0.000, 0.500, 0.500]],
  "space_group": "P4/mbm (127)",
  "density_kg_m3": 4296,
  "crystal_system": "tetragonal",
  "e_tot_ev_per_atom": -3.249
}

=====

{
  "formula": "RbCa3Sn",
  "functional": "PBEsol",
  "state": "relaxed",
  "lattice_angstrom": [[-2.072, -0.485, 5.267], [-4.302, -3.137, -1.981], [3.078, -4.711, 0.777]],
  "species": ["Sn", "Rb", "Ca", "Ca", "Ca"],
  "fractional_positions": [[0.500, 0.500, 0.500], [0.000, 0.000, 0.000], [0.000, 0.500, 0.000], [0.500, 0.000, 0.000], [0.000, 0.000, 0.500]],
  "space_group": "Pm-3m (221)",
  "density_kg_m3": 2938,
  "crystal_system": "cubic",
  "e_tot_ev_per_atom": -1.394
}

=====

{
  "formula": "RbCa2Sn2",
  "functional": "PBEsol",
  "state": "relaxed",
  "lattice_angstrom": [[5.647, 0.000, 0.000], [0.000, 5.647, 0.000], [-2.823, -2.823, 6.235]],
  "species": ["Ca", "Ca", "Rb", "Sn", "Sn"],
  "fractional_positions": [[0.655, 0.655, 0.310], [0.345, 0.345, 0.690], [0.000, 0.000, 0.000], [0.750, 0.250, 0.500], [0.250, 0.750, 0.500]],
  "space_group": "I4/mmm (139)",
  "density_kg_m3": 3367,
  "crystal_system": "tetragonal",
  "e_tot_ev_per_atom": -2.901
}